1.
The following is a DFT calculation (GGA-PBE) of a geometry-optimized La4DyY8 structure.

a b c (Å): 7.8756 7.8756 7.8756
angles (deg): 90.11 90.11 90.11
With the nearest neighbours (Å) after each atom.
Element x y z (fractional)
La 0.5000 0.0000 0.5000  8 Y 3.45-3.46
La 0.0000 0.5000 0.5000  8 Y 3.45-3.46
La 0.5000 0.5000 0.0000  8 Y 3.45-3.46
La 0.0000 0.0000 0.0000  8 Y 3.27-3.28
Dy 0.5000 0.5000 0.5000  8 Y 3.53-3.54, 6 La 3.94
Y 0.2402 0.7587 0.2402  4 La 3.28-3.46, 1 Dy 3.54
Y 0.7598 0.7598 0.2413  4 La 3.28-3.46, 1 Dy 3.54
Y 0.7598 0.2413 0.7598  4 La 3.28-3.46, 1 Dy 3.54
Y 0.2413 0.7598 0.7598  4 La 3.28-3.46, 1 Dy 3.54
Y 0.7595 0.7595 0.7595  4 La 3.27-3.46, 1 Dy 3.53
Y 0.2405 0.2405 0.2405  4 La 3.27-3.46, 1 Dy 3.53
Y 0.7587 0.2402 0.2402  4 La 3.28-3.46, 1 Dy 3.54
Y 0.2402 0.2402 0.7587  4 La 3.28-3.46, 1 Dy 3.54

## Properties
total magnetization: 3.69 Bohr magnetons per cell
energy: -69.02 eV for the cell shown
crystal system: trigonal
energy of formation from the pure elements: 539 meV per atom
ρ: 4.86 g/cm³


2.
The following is a DFT calculation (GGA-PBE) of a geometry-optimized KCa2I structure.

a b c (Å): 6.3325 6.3325 6.3325
angles (deg): 60.00 60.00 60.00
With the nearest neighbours (Å) after each atom.
Element x y z (fractional)
I 0.5000 0.5000 0.5000  8 Ca 3.88
Ca 0.2500 0.2500 0.2500  4 K 3.88, 4 I 3.88
Ca 0.7500 0.7500 0.7500  4 K 3.88, 4 I 3.88
K 0.0000 0.0000 0.0000  8 Ca 3.88

## Properties
total magnetization: 0.00 Bohr magnetons per cell
energy: -6.78 eV for the cell shown
crystal system: cubic
ΔE_f (raw): -0.03 eV per atom
ρ: 2.28 g/cm³